Record 1
Compound: Sr2SiGe
Source: Alexandria via LeMat-Bulk
Functional: GGA-PBE
Structure: optimized geometry

Results
- total DFT energy (no corrections) (eV/f.u.) = -15.58
- formation energy without anion corrections (eV/atom) = -0.544
- excess energy over the best structure of this formula in the dataset (eV/f.u.) = 0.000
- ρ (kg/m3) = 4013
- SG = P2_1/m, No. 11
- density of states at the Fermi level (states/eV/cell) = 2.0

Cell: 4.141 6.202 9.653 Å, 112.90 90.00 90.00°
Sites, in units of the cell vectors:
Sr: 0.750 0.225 0.929
Sr: 0.250 0.775 0.071
Ge: 0.250 0.363 0.216
Si: 0.250 0.368 0.717
Si: 0.750 0.632 0.283
Ge: 0.750 0.637 0.784
Sr: 0.250 0.777 0.567
Sr: 0.750 0.223 0.433

Record 2
Compound: Sr4Si2Ge5
Source: Alexandria via LeMat-Bulk
Functional: GGA-PBE
Structure: optimized geometry

Results
- total DFT energy (no corrections) (eV/f.u.) = -45.64
- formation energy without anion corrections (eV/atom) = -0.452
- ρ (kg/m3) = 4540
- SG = P2/m, No. 10
- density of states at the Fermi level (states/eV/cell) = 5.0

Cell: 4.737 7.262 8.187 Å, 91.37 90.00 90.00°
Sites, in units of the cell vectors:
Si: 0.000 0.080 0.377
Sr: 0.500 0.229 0.132
Sr: 0.500 0.737 0.370
Sr: 0.500 0.263 0.630
Ge: 0.000 0.500 0.000
Sr: 0.500 0.771 0.868
Ge: 0.000 0.582 0.645
Ge: 0.000 0.115 0.879
Ge: 0.000 0.885 0.121
Ge: 0.000 0.418 0.355
Si: 0.000 0.920 0.623